(1)
Below is LiPuTl2O8 after structural relaxation, with properties calculated at the GGA-PBE level.

a b c (Å): 6.699 6.699 7.712
angles (deg): 90.00 90.00 90.00
Space group I-4m2 (No. 119)
Symmetry-distinct sites (fractional):
1 Li 0.000 0.000 0.000 (multiplicity 2)
2 Pu 0.000 0.500 0.750 (multiplicity 2)
3 Tl 0.000 0.000 0.500 (multiplicity 2)
4 Tl 0.000 0.500 0.250 (multiplicity 2)
5 O 0.000 0.201 0.725 (multiplicity 8)
6 O 0.000 0.331 0.012 (multiplicity 8)

Output
E_form (uncorrected) = -0.915 eV/atom



(2)
Below is Li2PuTl2O6 after structural relaxation, with properties calculated at the GGA-PBE level.

a b c (Å): 6.0100 6.0100 17.1118
angles (deg): 90.00 90.00 120.00
Space group R-3m (No. 166, hexagonal axes)
Symmetry-distinct sites (fractional):
1 Li 0.0000 0.0000 0.0990 (multiplicity 6)
2 Pu 0.0000 0.0000 0.5000 (multiplicity 3)
3 Tl 0.0000 0.0000 0.2880 (multiplicity 6)
4 O 0.0289 0.5145 0.2364 (multiplicity 18)

Output
E_form (uncorrected) = -1.647 eV/atom



(3)
Below is LiPu2TlO8 after structural relaxation, with properties calculated at the GGA-PBE level.

a b c (Å): 6.828 6.999 6.971
angles (deg): 90.00 90.00 90.00
Space group Cmmm (No. 65)
Symmetry-distinct sites (fractional):
1 Li 0.000 0.000 0.000 (multiplicity 2)
2 Pu 0.000 0.500 0.242 (multiplicity 4)
3 Tl 0.000 0.000 0.500 (multiplicity 2)
4 O 0.000 0.313 0.500 (multiplicity 4)
5 O 0.000 0.317 0.000 (multiplicity 4)
6 O 0.218 0.000 0.241 (multiplicity 8)

Output
E_form (uncorrected) = -2.053 eV/atom



(4)
Below is Li2PuTlO4 after structural relaxation, with properties calculated at the GGA-PBE level.

a b c (Å): 3.830 3.830 7.177
angles (deg): 90.00 90.00 90.00
Space group P4/mmm (No. 123)
Symmetry-distinct sites (fractional):
1 Li 0.000 0.000 0.220 (multiplicity 2)
2 Pu 0.500 0.500 0.000 (multiplicity 1)
3 Tl 0.500 0.500 0.500 (multiplicity 1)
4 O 0.000 0.500 0.176 (multiplicity 4)

Output
E_form (uncorrected) = -1.940 eV/atom



(5)
Below is LiPuTlO5 after structural relaxation, with properties calculated at the GGA-PBE level.

a b c (Å): 7.554 9.758 8.208
angles (deg): 90.00 116.98 90.00
Space group C2/c (No. 15)
Symmetry-distinct sites (fractional):
1 Li 0.000 0.193 0.250 (multiplicity 4)
2 Pu 0.000 0.500 0.000 (multiplicity 4)
3 Tl 0.000 0.172 0.750 (multiplicity 4)
4 O 0.000 0.436 0.750 (multiplicity 4)
5 O 0.082 0.319 0.096 (multiplicity 8)
6 O 0.232 0.060 0.404 (multiplicity 8)

Output
E_form (uncorrected) = -1.794 eV/atom



(6)
Below is LiTmPuO4 after structural relaxation, with properties calculated at the GGA-PBE level.

a b c (Å): 6.001 9.606 6.828
angles (deg): 90.00 90.00 90.00
Space group Cmcm (No. 63)
Symmetry-distinct sites (fractional):
1 Li 0.000 0.155 0.250 (multiplicity 4)
2 Tm 0.000 0.500 0.000 (multiplicity 4)
3 Pu 0.000 0.162 0.750 (multiplicity 4)
4 O 0.000 0.269 0.013 (multiplicity 8)
5 O 0.249 0.497 0.750 (multiplicity 8)

Output
E_form (uncorrected) = -2.802 eV/atom



(7)
Below is LiTmPuO6 after structural relaxation, with properties calculated at the GGA-PBE level.

a b c (Å): 5.2738 5.2738 4.8457
angles (deg): 90.00 90.00 120.00
Space group P312 (No. 149)
Symmetry-distinct sites (fractional):
1 Li 0.0000 0.0000 0.0000 (multiplicity 1)
2 Tm 0.3333 0.6667 0.5000 (multiplicity 1)
3 Pu 0.6667 0.3333 0.0000 (multiplicity 1)
4 O 0.3549 0.0235 0.2273 (multiplicity 6)

Output
E_form (uncorrected) = -2.448 eV/atom



(8)
Below is Li2Tm2PuO6 after structural relaxation, with properties calculated at the GGA-PBE level.

a b c (Å): 5.827 10.328 5.333
angles (deg): 90.00 109.32 90.00
Space group C2/m (No. 12)
Symmetry-distinct sites (fractional):
1 Li 0.000 0.203 0.000 (multiplicity 4)
2 Tm 0.000 0.335 0.500 (multiplicity 4)
3 Pu 0.000 0.000 0.500 (multiplicity 2)
4 O 0.228 0.176 0.727 (multiplicity 8)
5 O 0.246 0.500 0.704 (multiplicity 4)

Output
E_form (uncorrected) = -2.874 eV/atom



(9)
Below is LiTmPu2O8 after structural relaxation, with properties calculated at the GGA-PBE level.

a b c (Å): 7.193 7.193 7.174
angles (deg): 90.00 90.00 90.00
Space group I-4m2 (No. 119)
Symmetry-distinct sites (fractional):
1 Li 0.000 0.000 0.000 (multiplicity 2)
2 Tm 0.000 0.500 0.750 (multiplicity 2)
3 Pu 0.000 0.000 0.500 (multiplicity 2)
4 Pu 0.000 0.500 0.250 (multiplicity 2)
5 O 0.000 0.195 0.691 (multiplicity 8)
6 O 0.000 0.323 0.043 (multiplicity 8)

Output
E_form (uncorrected) = -2.216 eV/atom



(10)
Below is Li2TmPuO4 after structural relaxation, with properties calculated at the GGA-PBE level.

a b c (Å): 4.439 4.439 10.837
angles (deg): 90.00 90.00 90.00
Space group I-4m2 (No. 119)
Symmetry-distinct sites (fractional):
1 Li 0.000 0.000 0.000 (multiplicity 2)
2 Li 0.000 0.500 0.250 (multiplicity 2)
3 Tm 0.000 0.500 0.750 (multiplicity 2)
4 Pu 0.000 0.000 0.500 (multiplicity 2)
5 O 0.000 0.000 0.274 (multiplicity 4)
6 O 0.000 0.500 0.539 (multiplicity 4)

Output
E_form (uncorrected) = -2.713 eV/atom



(11)
Below is Li2TmPuO6 after structural relaxation, with properties calculated at the GGA-PBE level.

a b c (Å): 5.3339 5.3339 15.2618
angles (deg): 90.00 90.00 120.00
Space group R-3 (No. 148, hexagonal axes)
Symmetry-distinct sites (fractional):
1 Li 0.0000 0.0000 0.2029 (multiplicity 6)
2 Tm 0.0000 0.0000 0.0000 (multiplicity 3)
3 Pu 0.0000 0.0000 0.5000 (multiplicity 3)
4 O 0.0061 0.3672 0.2401 (multiplicity 18)

Output
E_form (uncorrected) = -2.606 eV/atom



(12)
Below is LiPuUO6 after structural relaxation, with properties calculated at the GGA-PBE level.

a b c (Å): 5.8369 5.8369 9.3194
angles (deg): 90.00 90.00 120.00
Space group P-31c (No. 163)
Symmetry-distinct sites (fractional):
1 Li 0.0000 0.0000 0.0000 (multiplicity 2)
2 Pu 0.3333 0.6667 0.2500 (multiplicity 2)
3 U 0.3333 0.6667 0.7500 (multiplicity 2)
4 O 0.0049 0.3682 0.6407 (multiplicity 12)

Output
E_form (uncorrected) = -2.664 eV/atom



no.,density (Mg/m³)
1,7.6
2,7.1
3,8.2
4,8.3
5,6.6
6,8.2
7,7.3
8,7.6
9,7.1
10,7.6
11,6.9
12,7.1